Entry 1:
First-principles (PBE-GGA) data for an optimized crystal structure of Ca2BrO2, as listed in Alexandria.

The structure belongs to space group I4/mmm (No. 139); the cell edges are 3.924, 3.924 and 13.064 Å and the angles 90.00°, 90.00° and 90.00°. The inequivalent atoms are Ca at (0.000, 0.000, 0.162), Br at (0.000, 0.000, 0.500) and O at (0.000, 0.500, 0.250).

As for the density: 3.171 g cm⁻³. The crystal system is tetragonal. The value obtained for the formation energy from raw total energies is -2189 meV/atom. The density of states at the Fermi level is 1.491 states/eV per atom. As for the raw total energy: -5.31 eV per atom. The calculation puts the volume at 201.2 Å³ per cell. Its total magnetization is 0.00 μB per atom.



Entry 2:
First-principles (PBE-GGA) data for an optimized crystal structure of CaBr2O, as listed in Alexandria.

The structure belongs to space group P1 (No. 1); the cell edges are 3.977, 3.998 and 7.365 Å and the angles 96.33°, 96.98° and 119.22°. The inequivalent atoms are Ca at (0.000, 0.000, 0.000), Br at (0.448, 0.768, 0.263), Br at (0.553, 0.094, 0.653) and O at (0.626, 0.303, 0.912).

For the energy above the most stable polymorph in this dataset, the calculation gives 0 meV per atom. As for the density: 3.603 g cm⁻³. The crystal system is triclinic. The value obtained for the formation energy from raw total energies is -1530 meV/atom. The density of states at the Fermi level is 0.000 states/eV per atom. As for the raw total energy: -4.11 eV per atom. The calculation puts the volume at 99.5 Å³ per cell. Its total magnetization is 0.00 μB per atom.